[1]
Dy3Y2Sb2 | Alexandria | PBE | relaxed; crystal system = monoclinic; space-group type = C2/m; formation energy from raw total energies = -649 meV per atom
1.0
12.146 0.000 0.000
0.000 4.254 0.000
-2.769 0.000 8.019
Dy Y Sb
6 4 4
direct
0.000 0.000 0.000 Dy
0.125 0.000 0.445 Dy
0.375 0.500 0.555 Dy
0.500 0.500 0.000 Dy
0.625 0.500 0.445 Dy
0.875 0.000 0.555 Dy
0.134 0.500 0.786 Y
0.366 0.000 0.214 Y
0.634 0.000 0.786 Y
0.866 0.500 0.214 Y
0.174 0.500 0.194 Sb
0.326 0.000 0.806 Sb
0.674 0.000 0.194 Sb
0.826 0.500 0.806 Sb

---

[2]
Nd13Er2 | Alexandria | PBE | relaxed; polymorph energy (0 for the lowest one) = 0 meV per atom; crystal system = triclinic; space-group type = P-1
1.0
6.788 0.000 0.000
1.242 9.085 0.000
1.228 3.539 8.375
Nd Er
13 2
direct
0.000 0.000 0.000 Nd
0.102 0.436 0.765 Nd
0.193 0.193 0.209 Nd
0.298 0.628 0.974 Nd
0.305 0.961 0.639 Nd
0.396 0.397 0.406 Nd
0.498 0.169 0.835 Nd
0.502 0.831 0.165 Nd
0.604 0.603 0.594 Nd
0.695 0.039 0.361 Nd
0.702 0.372 0.026 Nd
0.807 0.807 0.791 Nd
0.898 0.564 0.235 Nd
0.099 0.769 0.430 Er
0.901 0.231 0.570 Er

---

[3]
Th2Si3Ni4Ge | Alexandria | PBE | relaxed; crystal system = tetragonal; space-group type = P-4m2; formation energy from raw total energies = -828 meV per atom
1.0
4.106 0.000 0.000
0.000 4.106 0.000
0.000 0.000 9.549
Th Si Ni Ge
2 3 4 1
direct
0.000 0.500 0.244 Th
0.500 0.000 0.756 Th
0.000 0.500 0.874 Si
0.500 0.000 0.126 Si
0.500 0.500 0.500 Si
0.000 0.000 0.000 Ni
0.000 0.500 0.626 Ni
0.500 0.000 0.374 Ni
0.500 0.500 0.000 Ni
0.000 0.000 0.500 Ge

---

[4]
BaPrCu2O4 | Alexandria | PBE | relaxed; crystal system = tetragonal; space-group type = P4/mmm; formation energy from raw total energies = -1892 meV per atom
1.0
4.052 0.000 0.000
0.000 4.052 0.000
0.000 0.000 7.092
Ba Pr Cu O
1 1 2 4
direct
0.000 0.000 0.000 Ba
0.000 0.000 0.500 Pr
0.500 0.500 0.283 Cu
0.500 0.500 0.717 Cu
0.000 0.500 0.281 O
0.000 0.500 0.719 O
0.500 0.000 0.281 O
0.500 0.000 0.719 O